Here is an optimized crystal structure of Sr8Mg3FeMo4O24 from Alexandria. Energies are from GGA+U.

Structure (POSCAR):
```
Sr8Mg3FeMo4O24
1.0
-3.541 -9.442 4.987
2.687 -4.553 5.913
-8.701 4.232 1.898
Sr Mg Fe Mo O
8 3 1 4 24
Direct
0.122 0.249 0.250 Sr
0.123 0.757 0.250 Sr
0.377 0.243 0.750 Sr
0.628 0.251 0.250 Sr
0.378 0.751 0.750 Sr
0.627 0.742 0.250 Sr
0.873 0.258 0.750 Sr
0.872 0.749 0.750 Sr
0.001 0.998 0.998 Mg
0.499 0.002 0.002 Mg
0.750 0.000 0.500 Mg
0.250 0.000 0.500 Fe
0.250 0.500 0.500 Mo
0.501 0.497 0.997 Mo
0.750 0.500 0.500 Mo
0.999 0.503 0.003 Mo
0.043 0.214 0.995 O
0.123 0.255 0.755 O
0.010 0.699 0.500 O
0.238 0.304 0.003 O
0.293 0.213 0.500 O
0.370 0.261 0.261 O
0.130 0.739 0.739 O
0.207 0.787 0.500 O
0.262 0.696 0.997 O
0.490 0.301 0.500 O
0.538 0.224 0.005 O
0.377 0.745 0.245 O
0.621 0.259 0.759 O
0.457 0.786 0.005 O
0.496 0.713 0.500 O
0.741 0.298 0.997 O
0.788 0.221 0.500 O
0.875 0.251 0.251 O
0.625 0.749 0.749 O
0.712 0.779 0.500 O
0.759 0.702 0.003 O
0.004 0.287 0.500 O
0.879 0.741 0.241 O
0.962 0.776 0.995 O
```

- electronic total energy (eV per atom) = -6.7150
- density (g/cm3) = 5.179
- magnetic moment (μB per formula unit) = 6.00